Entry 1:
ZnIr3 | PBEsol | relaxed

Unit cell a=2.724 b=2.724 c=8.660 alpha=90.00 beta=90.00 gamma=120.00
Sites, in units of the cell vectors:
Zn (0.000, 0.000, 0.000)
Ir (0.000, 0.000, 0.500)
Ir (0.333, 0.667, 0.247)
Ir (0.333, 0.667, 0.753)

Its magnetization is 0.00 μB/cell. Its density of states at the Fermi level is 1.1021 states/eV/atom. For the formation energy, the calculation gives -0.025 eV per atom.



Entry 2:
ZnIr | PBEsol | relaxed

Unit cell a=5.098 b=5.098 c=6.316 alpha=104.65 beta=104.65 gamma=31.28
Sites, in units of the cell vectors:
Zn (0.000, 0.000, 0.000)
Zn (0.048, 0.048, 0.614)
Zn (0.381, 0.381, 0.274)
Ir (0.327, 0.327, 0.661)
Ir (0.657, 0.657, 0.336)
Ir (0.724, 0.724, 0.947)

Its magnetization is 0.00 μB/cell. Its density of states at the Fermi level is 0.5033 states/eV/atom. For the formation energy, the calculation gives -0.122 eV per atom.